Density functional theory data (PBE) for Zr3Ge2C after structural relaxation.

a = 6.243 Å, b = 6.243 Å, c = 6.085 Å
α = 99.60°, β = 99.60°, γ = 109.04°
Sites, in units of the cell vectors:
Zr  0.000  0.500  0.000
Zr  0.092  0.255  0.488
Zr  0.255  0.092  0.988
Zr  0.500  0.000  0.500
Zr  0.745  0.908  0.012
Zr  0.908  0.745  0.512
Ge  0.294  0.706  0.750
Ge  0.444  0.556  0.250
Ge  0.556  0.444  0.750
Ge  0.706  0.294  0.250
C  0.086  0.914  0.250
C  0.914  0.086  0.750

Computed properties:
The energy relative to the elements is -0.594 eV/atom. Its space group is No. 15.

Density functional theory data (PBE) for Y2HoGa6 after structural relaxation.

a = 7.853 Å, b = 7.853 Å, c = 7.853 Å
α = 148.26°, β = 127.35°, γ = 62.80°
Sites, in units of the cell vectors:
Y  0.126  0.126  0.000
Y  0.874  0.874  0.000
Ho  0.500  0.000  0.500
Ga  0.125  0.316  0.808
Ga  0.191  0.500  0.691
Ga  0.492  0.684  0.808
Ga  0.508  0.316  0.192
Ga  0.809  0.500  0.309
Ga  0.875  0.684  0.192

Computed properties:
The energy relative to the elements is -0.464 eV/atom. Its space group is No. 71. The value obtained for the offset from the most stable computed form is 1.62 eV/f.u.

Density functional theory data (PBE) for RbSiB after structural relaxation.

a = 6.595 Å, b = 4.894 Å, c = 6.626 Å
α = 67.94°, β = 43.45°, γ = 68.61°
Sites, in units of the cell vectors:
Rb  0.201  0.799  0.201
Rb  0.799  0.201  0.799
Si  0.177  0.515  0.823
Si  0.515  0.177  0.485
B  0.521  0.769  0.479
B  0.769  0.521  0.231

Computed properties:
Its space group is No. 42.

Density functional theory data (PBE) for ZnSb2 after structural relaxation.

a = 6.830 Å, b = 6.830 Å, c = 6.830 Å
α = 90.00°, β = 90.00°, γ = 90.00°
Sites, in units of the cell vectors:
Zn  0.000  0.000  0.000
Zn  0.000  0.500  0.500
Zn  0.500  0.000  0.500
Zn  0.500  0.500  0.000
Sb  0.250  0.250  0.250
Sb  0.250  0.250  0.750
Sb  0.250  0.750  0.250
Sb  0.250  0.750  0.750
Sb  0.750  0.250  0.250
Sb  0.750  0.250  0.750
Sb  0.750  0.750  0.250
Sb  0.750  0.750  0.750

Computed properties:
Its space group is No. 225.

no.,total magnetic moment (μB per formula unit),E (eV/cell)
1,0.0,-95.33
2,0.0,-39.84
3,0.0,-25.02
4,0.0,-36.05